#a
Material: GeSbRu
Method: DFT, PBE
State: optimized geometry

Calculated values
- crystal system = monoclinic

Structure (extended XYZ):
```
6
Lattice="6.204 -1.562 0.000 6.204 1.562 0.000 -0.343 0.000 5.810" Properties=species:S:1:pos:R:3 pbc="T T T"
Ge 0.000 0.000 0.000
Ge 9.047 0.000 0.901
Sb 1.569 0.000 3.885
Sb 10.818 0.000 2.969
Ru 3.893 0.000 5.224
Ru 6.707 0.000 1.916
```

#b
Material: GeSbRu
Method: DFT, PBE
State: optimized geometry

Calculated values
- crystal system = orthorhombic

Structure (extended XYZ):
```
6
Lattice="1.527 -6.215 0.000 1.527 6.215 0.000 0.000 0.000 5.921" Properties=species:S:1:pos:R:3 pbc="T T T"
Ge 1.527 5.587 2.960
Ge 1.527 -5.587 0.000
Sb 1.527 3.750 0.941
Sb 1.527 -3.750 3.902
Ru 1.527 1.277 1.990
Ru 1.527 -1.277 4.950
```

Here is how they stack up, most stable first: #b, #a.

#a
Material: GeSbRu
Method: DFT, PBE
State: optimized geometry

Calculated values
- crystal system = monoclinic

Structure (extended XYZ):
```
6
Lattice="4.548 -1.840 0.000 4.548 1.840 0.000 -3.996 0.000 6.667" Properties=species:S:1:pos:R:3 pbc="T T T"
Ge 1.261 0.000 0.294
Ge 3.838 0.000 6.372
Sb 1.272 0.000 4.189
Sb 3.827 0.000 2.478
Ru -1.394 0.000 4.709
Ru 6.494 0.000 1.958
```

#b
Material: GeSbRu
Method: DFT, PBE
State: optimized geometry

Calculated values
- crystal system = monoclinic

Structure (extended XYZ):
```
6
Lattice="6.263 -1.604 0.000 6.263 1.604 0.000 -0.985 0.000 5.723" Properties=species:S:1:pos:R:3 pbc="T T T"
Ge 0.000 0.000 0.000
Ge 7.132 0.000 2.658
Sb 3.775 0.000 3.893
Sb 9.200 0.000 0.859
Ru 1.193 0.000 4.580
Ru 11.488 0.000 2.246
```

Here is how they stack up, most stable first: #a, #b.

#a
Material: GeSbRu
Method: DFT, PBE
State: optimized geometry

Calculated values
- crystal system = monoclinic

Structure (extended XYZ):
```
6
Lattice="4.599 -1.627 0.000 4.599 1.627 0.000 -1.459 0.000 7.596" Properties=species:S:1:pos:R:3 pbc="T T T"
Ge 0.516 0.000 3.542
Ge 7.223 0.000 4.053
Sb 3.341 0.000 0.999
Sb 4.398 0.000 6.597
Ru 1.825 0.000 5.825
Ru 5.914 0.000 1.771
```

#b
Material: GeSbRu
Method: DFT, PBE
State: optimized geometry

Calculated values
- crystal system = orthorhombic

Structure (extended XYZ):
```
6
Lattice="3.101 0.000 0.000 0.000 6.229 0.000 0.000 0.000 6.126" Properties=species:S:1:pos:R:3 pbc="T T T"
Ge 0.000 0.699 0.000
Ge 1.550 5.530 3.063
Sb 0.000 2.307 2.323
Sb 1.550 3.923 5.386
Ru 0.000 4.761 1.261
Ru 1.550 1.468 4.324
```

Here is how they stack up, most stable first: #a, #b.